TaInSi (PBE, relaxed); total magnetization = 0.000 Bohr magnetons per cell; symmetry = P-6m2 (187); electronic total energy = -0.2328 Ha/atom
1.0
-4.119 1.492 -1.162
2.617 -2.054 -3.078
-1.252 -2.820 0.817
In Si Ta
1 1 1
Direct
0.000 0.000 0.000
0.667 0.333 0.499
0.333 0.667 0.500